# ZnMoIO2

An optimized crystal structure of ZnMoIO2 (GGA+U, the Alexandria database).

```
ZnMoIO2
1.0
-2.7614 2.6760 -0.9012
-1.7500 -0.6328 3.4835
4.1486 5.3076 3.0483
Mo Zn I O
1 1 1 2
Direct
0.0000 0.0000 0.0000
0.5000 0.5000 0.5000
0.0000 0.0000 0.5000
0.5000 0.0000 0.0000
0.0000 0.5000 0.0000
```

Computed properties:
For the raw total energy, the calculation gives -4.62 eV/atom. For the density of states at the Fermi level, the calculation gives 1.9 states/eV per cell. Its space group is P4/mmm (123). The energy above the most stable polymorph in this dataset is 0 meV/atom.